A crystal of Gd4TiSe4O4 relaxed with PBEsol. Source: Alexandria, functional meta-GGA SCAN.

The formation energy from raw total energies is -2.859 eV/atom. Its total moment is 0.0 μB/f.u.

It has space group C2/m (No. 12), with a = 15.727 Å, b = 3.723 Å, c = 9.607 Å, α = 90.00°, β = 117.93° and γ = 90.00°. Symmetry generates all atoms from Gd at (0.025, 0.000, 0.332), Gd at (0.223, 0.500, 0.324), Ti at (0.000, 0.500, 0.000), Se at (0.116, 0.500, 0.633), Se at (0.122, 0.000, 0.017), O at (0.052, 0.500, 0.222) and O at (0.183, 0.000, 0.410).